A geometry-optimized Sn2Pd structure, computed with PBE.

Calculated values
Electronic total energy, eV/atom: -4.787

abc: 13.178 13.178 13.178
angles: 151.15 151.15 41.26
Sites, in units of the cell vectors:
Sn (0.001, 0.750, 0.751)
Sn (0.033, 0.783, 0.566)
Sn (0.217, 0.283, 0.250)
Sn (0.250, 0.001, 0.751)
Sn (0.250, 0.501, 0.251)
Sn (0.283, 0.533, 0.066)
Sn (0.467, 0.033, 0.750)
Sn (0.499, 0.250, 0.749)
Sn (0.501, 0.750, 0.251)
Sn (0.533, 0.967, 0.250)
Sn (0.717, 0.467, 0.934)
Sn (0.750, 0.499, 0.749)
Sn (0.750, 0.999, 0.249)
Sn (0.783, 0.717, 0.750)
Sn (0.967, 0.217, 0.434)
Sn (0.999, 0.250, 0.249)
Pd (0.067, 0.817, 0.250)
Pd (0.183, 0.933, 0.250)
Pd (0.317, 0.567, 0.750)
Pd (0.433, 0.683, 0.750)
Pd (0.567, 0.317, 0.250)
Pd (0.683, 0.433, 0.250)
Pd (0.817, 0.067, 0.750)
Pd (0.933, 0.183, 0.750)

---

A geometry-optimized Sn7Pd19 structure, computed with PBE.

Calculated values
Electronic total energy, eV/atom: -5.307

abc: 4.009 4.009 35.916
angles: 90.00 90.00 90.00
Sites, in units of the cell vectors:
Sn (0.000, 0.000, 0.000)
Sn (0.000, 0.000, 0.112)
Sn (0.000, 0.000, 0.224)
Sn (0.000, 0.000, 0.338)
Sn (0.000, 0.000, 0.662)
Sn (0.000, 0.000, 0.776)
Sn (0.000, 0.000, 0.888)
Pd (0.000, 0.500, 0.056)
Pd (0.000, 0.500, 0.169)
Pd (0.000, 0.500, 0.282)
Pd (0.000, 0.500, 0.718)
Pd (0.000, 0.500, 0.831)
Pd (0.000, 0.500, 0.944)
Pd (0.500, 0.000, 0.056)
Pd (0.500, 0.000, 0.169)
Pd (0.500, 0.000, 0.282)
Pd (0.500, 0.000, 0.718)
Pd (0.500, 0.000, 0.831)
Pd (0.500, 0.000, 0.944)
Pd (0.500, 0.500, 0.000)
Pd (0.500, 0.500, 0.113)
Pd (0.500, 0.500, 0.226)
Pd (0.500, 0.500, 0.339)
Pd (0.500, 0.500, 0.661)
Pd (0.500, 0.500, 0.774)
Pd (0.500, 0.500, 0.887)

---

A geometry-optimized SnPd2 structure, computed with PBE.

Calculated values
Electronic total energy, eV/atom: -4.985

abc: 5.363 5.363 5.363
angles: 60.00 60.00 60.00
Sites, in units of the cell vectors:
Sn (0.125, 0.125, 0.125)
Sn (0.875, 0.875, 0.875)
Pd (0.000, 0.500, 0.500)
Pd (0.500, 0.000, 0.500)
Pd (0.500, 0.500, 0.000)
Pd (0.500, 0.500, 0.500)

---

A geometry-optimized Sn2Pd structure, computed with PBE.

Calculated values
Electronic total energy, eV/atom: -4.000

abc: 5.937 5.937 5.937
angles: 60.00 60.00 60.00
Sites, in units of the cell vectors:
Sn (0.000, 0.000, 0.000)
Sn (0.000, 0.000, 0.500)
Sn (0.000, 0.500, 0.000)
Sn (0.500, 0.000, 0.000)
Pd (0.375, 0.375, 0.375)
Pd (0.625, 0.625, 0.625)

---

A geometry-optimized Sr2Sn5Pd3 structure, computed with PBE.

Calculated values
Electronic total energy, eV/atom: -4.555

abc: 9.271 9.271 9.271
angles: 104.46 90.30 138.17
Sites, in units of the cell vectors:
Sr (0.141, 0.234, 0.375)
Sr (0.359, 0.734, 0.093)
Sr (0.641, 0.266, 0.907)
Sr (0.859, 0.766, 0.625)
Sn (0.020, 0.750, 0.270)
Sn (0.094, 0.659, 0.753)
Sn (0.250, 0.250, 0.000)
Sn (0.406, 0.159, 0.566)
Sn (0.480, 0.750, 0.730)
Sn (0.520, 0.250, 0.270)
Sn (0.594, 0.841, 0.434)
Sn (0.750, 0.750, 0.000)
Sn (0.906, 0.341, 0.247)
Sn (0.980, 0.250, 0.730)
Pd (0.136, 0.888, 0.024)
Pd (0.250, 0.750, 0.500)
Pd (0.364, 0.388, 0.752)
Pd (0.636, 0.612, 0.248)
Pd (0.750, 0.250, 0.500)
Pd (0.864, 0.112, 0.976)

---

A geometry-optimized SrSnPd structure, computed with PBE.

Calculated values
Electronic total energy, eV/atom: -4.379

abc: 6.701 6.807 8.378
angles: 90.00 121.99 90.00
Sites, in units of the cell vectors:
Sr (0.214, 0.141, 0.414)
Sr (0.214, 0.359, 0.914)
Sr (0.786, 0.641, 0.086)
Sr (0.786, 0.859, 0.586)
Sn (0.240, 0.627, 0.564)
Sn (0.240, 0.873, 0.064)
Sn (0.760, 0.127, 0.936)
Sn (0.760, 0.373, 0.436)
Pd (0.371, 0.592, 0.316)
Pd (0.371, 0.908, 0.816)
Pd (0.629, 0.092, 0.184)
Pd (0.629, 0.408, 0.684)

---

A geometry-optimized Sr2SnPd structure, computed with PBE.

Calculated values
Electronic total energy, eV/atom: -3.761

abc: 4.508 6.223 6.223
angles: 47.32 90.00 90.00
Sites, in units of the cell vectors:
Sr (0.000, 0.000, 0.000)
Sr (0.500, 0.286, 0.286)
Sn (0.500, 0.587, 0.587)
Pd (0.000, 0.716, 0.716)

---

A geometry-optimized SrYSn2Pd4 structure, computed with PBE.

Calculated values
Electronic total energy, eV/atom: -5.397

abc: 4.610 4.610 9.515
angles: 90.00 90.00 120.00
Sites, in units of the cell vectors:
Sr (0.000, 0.000, 0.000)
Y (0.333, 0.667, 0.500)
Sn (0.667, 0.333, 0.264)
Sn (0.667, 0.333, 0.736)
Pd (0.000, 0.000, 0.343)
Pd (0.000, 0.000, 0.657)
Pd (0.333, 0.667, 0.195)
Pd (0.333, 0.667, 0.805)

---

Which formula does entry 1 have? Sn2Pd